(1)
# Tb3CoPb

An optimized crystal structure of Tb3CoPb (GGA-PBE, Alexandria).

Results
Electronic total energy = -52.6 eV/cell
Energy of formation = -0.320 eV/atom
SG = P2_1/m (11)
ΔE to the lowest computed polymorph = 0 meV/atom

Cell lengths 4.4029, 7.9118, 8.3610 Å; angles 115.31, 90.00, 90.00 degrees
Element x y z (fractional)
Tb: 0.7500 0.6746 0.4114
Tb: 0.2500 0.3254 0.5886
Tb: 0.7500 0.3261 0.9099
Tb: 0.2500 0.9583 0.7587
Tb: 0.2500 0.6739 0.0901
Tb: 0.7500 0.0417 0.2413
Co: 0.2500 0.9385 0.4216
Co: 0.7500 0.0615 0.5784
Pb: 0.2500 0.3247 0.1984
Pb: 0.7500 0.6753 0.8016

***

(2)
# Ba2Hg3Pb

An optimized crystal structure of Ba2Hg3Pb (GGA-PBE, Alexandria).

Results
Electronic total energy = -22.9 eV/cell
Energy of formation = -0.499 eV/atom
SG = Fmmm (69)

Cell lengths 6.7888, 6.7888, 10.5346 Å; angles 112.80, 112.80, 78.30 degrees
Element x y z (fractional)
Ba: 0.7500 0.2500 0.5000
Ba: 0.7588 0.2412 0.0000
Ba: 0.2500 0.7500 0.5000
Ba: 0.2412 0.7588 0.0000
Hg: 0.8331 0.8331 0.1652
Hg: 0.6679 0.6679 0.8348
Hg: 0.1669 0.1669 0.8348
Hg: 0.3321 0.3321 0.1652
Hg: 0.1657 0.1657 0.3315
Hg: 0.8343 0.8343 0.6685
Pb: 0.6646 0.6646 0.3293
Pb: 0.3354 0.3354 0.6707

***

(3)
# Be5Rh

An optimized crystal structure of Be5Rh (GGA-PBE, Alexandria).

Results
Electronic total energy = -27.5 eV/cell
Energy of formation = -0.253 eV/atom
SG = Cmmm (65)

Cell lengths 5.5674, 5.5674, 3.5306 Å; angles 90.00, 90.00, 149.85 degrees
Element x y z (fractional)
Be: 0.8288 0.1712 0.0000
Be: 0.1712 0.8288 0.0000
Be: 0.5000 0.5000 0.0000
Be: 0.3285 0.6715 0.5000
Be: 0.6715 0.3285 0.5000
Rh: 0.0000 0.0000 0.5000

***

(4)
# SrFe2S

An optimized crystal structure of SrFe2S (GGA-PBE, Alexandria).

Results
Electronic total energy = -19.9 eV/cell
Formation energy without anion corrections = 0.7120 eV/atom
SG = Fm-3m (225)
ΔE to the lowest computed polymorph = 817 meV/atom

Cell lengths 4.5218, 4.5218, 4.5218 Å; angles 60.00, 60.00, 60.00 degrees
Last column: magnetic moment on the atom in μB.
Element x y z (fractional)
Sr: 0.5000 0.5000 0.5000  -0.16
S: 0.0000 0.0000 0.0000  0.07
Fe: 0.2500 0.2500 0.2500  2.34
Fe: 0.7500 0.7500 0.7500  2.34

***

(5)
# BaAgP3

An optimized crystal structure of BaAgP3 (GGA-PBE, Alexandria).

Results
Electronic total energy = -19.8 eV/cell
Energy of formation = 0.239 eV/atom
SG = Pm-3m (221)

Cell lengths 4.9788, 4.9788, 4.9788 Å; angles 90.00, 90.00, 90.00 degrees
Element x y z (fractional)
P: 0.0000 0.5000 0.0000
P: 0.0000 0.0000 0.5000
P: 0.5000 0.0000 0.0000
Ba: 0.5000 0.5000 0.5000
Ag: 0.0000 0.0000 0.0000

***

(6)
# ZnFe2

An optimized crystal structure of ZnFe2 (GGA-PBE, Alexandria).

Results
Electronic total energy = -16.6 eV/cell
Energy of formation = 0.530 eV/atom
SG = P4/mmm (123)

Cell lengths 3.4115, 3.4115, 3.7798 Å; angles 90.00, 90.00, 90.00 degrees
Last column: magnetic moment on the atom in μB.
Element x y z (fractional)
Fe: 0.0000 0.5000 0.5000  2.42
Fe: 0.5000 0.0000 0.5000  2.42
Zn: 0.0000 0.0000 0.0000  -0.07

***

(7)
# BaTa2As

An optimized crystal structure of BaTa2As (GGA-PBE, Alexandria).

Results
Electronic total energy = -27.1 eV/cell
Energy of formation = 0.782 eV/atom
SG = C2/m (12)

Cell lengths 5.9483, 5.9483, 3.4566 Å; angles 73.45, 73.45, 118.18 degrees
Element x y z (fractional)
As: 0.5000 0.0000 0.5000
Ba: 0.0000 0.5000 0.5000
Ta: 0.0000 0.0000 0.0000
Ta: 0.5000 0.5000 0.0000

***

(8)
# Sc3SO

An optimized crystal structure of Sc3SO (GGA-PBE, Alexandria).

Results
Electronic total energy = -74.9 eV/cell
Formation energy without anion corrections = -1.8768 eV/atom
SG = Cmc2_1 (36)
ΔE to the lowest computed polymorph = 0 meV/atom

Cell lengths 3.3412, 5.0735, 9.9254 Å; angles 90.00, 99.69, 90.00 degrees
Element x y z (fractional)
Sc: 0.9588 0.4585 0.9175
Sc: 0.0412 0.9585 0.0825
Sc: 0.6028 0.4580 0.2056
Sc: 0.3972 0.9580 0.7944
Sc: 0.8058 0.4592 0.6116
Sc: 0.1942 0.9592 0.3884
S: 0.7962 0.9592 0.5923
S: 0.2038 0.4592 0.4077
O: 0.3807 0.4593 0.7615
O: 0.6193 0.9593 0.2385

***

The following DOS at the Fermi energy values (in states/eV/cell) correspond, in order, to the records above: 11.27 7.84 1.25 4.41 4.19 3.83 3.64 5.85.